# 1
MnSbH after structural relaxation, computed with PBE.

- Volume: 42.7 Å³/f.u.
- Symmetry: P4_2/m
- Distance to the lowest polymorph of the same formula: 4 kJ/mol of formula units

Lattice parameters (Å, degrees): 3.3880 7.1038 7.1038 90.00 90.00 90.00
Last column: nearest neighbours and their distance in Å.
Sites, in units of the cell vectors:
H (0.5000, 0.3213, 0.4504)  3 Mn 1.70-1.80
H (0.0000, 0.4504, 0.6787)  3 Mn 1.70-1.80
H (0.0000, 0.5496, 0.3213)  3 Mn 1.70-1.80
H (0.5000, 0.6787, 0.5496)  3 Mn 1.70-1.80
Mn (0.0000, 0.6850, 0.6337)  3 H 1.70-1.80
Mn (0.5000, 0.3663, 0.6850)  3 H 1.70-1.80
Mn (0.0000, 0.3150, 0.3663)  3 H 1.70-1.80
Mn (0.5000, 0.6337, 0.3150)  3 H 1.70-1.80
Sb (0.5000, 0.6960, 0.9257)  1 H 2.67, 4 Mn 2.68-2.90, 1 Sb 2.98
Sb (0.0000, 0.0743, 0.6960)  1 H 2.67, 4 Mn 2.68-2.90, 1 Sb 2.98
Sb (0.5000, 0.3040, 0.0743)  1 H 2.67, 4 Mn 2.68-2.90, 1 Sb 2.98
Sb (0.0000, 0.9257, 0.3040)  1 H 2.67, 4 Mn 2.68-2.90, 1 Sb 2.98



# 2
FePt2Br after structural relaxation, computed with PBE.

- Volume: 66.6 Å³/f.u.
- Symmetry: I4/mmm
- Distance to the lowest polymorph of the same formula: 142 kJ/mol of formula units

Lattice parameters (Å, degrees): 5.0043 5.0043 5.0043 132.60 132.60 69.28
Last column: nearest neighbours and their distance in Å.
Sites, in units of the cell vectors:
Pt (0.0000, 0.0000, 0.0000)  4 Pt 2.84, 4 Br 2.88, 4 Fe 2.88
Pt (0.5000, 0.5000, 0.0000)  4 Pt 2.84, 4 Fe 2.88, 4 Br 2.88
Fe (0.7500, 0.2500, 0.5000)  4 Br 2.84, 8 Pt 2.88
Br (0.2500, 0.7500, 0.5000)  4 Fe 2.84, 8 Pt 2.88



# 3
Li2YCo after structural relaxation, computed with PBE.

- Formation energy from the elements: 0.091 eV per atom
- Volume: 71.8 Å³/f.u.
- Symmetry: Immm
- Distance to the lowest polymorph of the same formula: 0 kJ/mol of formula units

Lattice parameters (Å, degrees): 5.6910 5.6910 5.6910 145.60 135.99 57.02
Last column: nearest neighbours and their distance in Å.
Sites, in units of the cell vectors:
Co (0.2500, 0.7500, 0.5000)  4 Y 2.72, 4 Li 2.78
Li (0.4711, 0.4711, 0.0000)  4 Li 2.78, 2 Co 2.78, 2 Y 3.07
Li (0.0289, 0.0289, 0.0000)  4 Li 2.78, 2 Co 2.78, 2 Y 3.07
Y (0.7500, 0.2500, 0.5000)  4 Co 2.72



Density of states at the Fermi level
In order: 1.0; 4.1; 2.9
Unit: states/eV/f.u.